The following is a DFT calculation (GGA-PBE) of a relaxed TbCeFeCo crystal.

Cell: 6.727 6.727 6.727 Å, 90.00 90.00 90.00°
Fractional coordinates of all 16 atoms:
Tb 0.000 0.000 0.000
Tb 0.000 0.500 0.500
Tb 0.500 0.000 0.500
Tb 0.500 0.500 0.000
Ce 0.000 0.000 0.500
Ce 0.000 0.500 0.000
Ce 0.500 0.000 0.000
Ce 0.500 0.500 0.500
Fe 0.250 0.250 0.250
Fe 0.250 0.750 0.750
Fe 0.750 0.250 0.750
Fe 0.750 0.750 0.250
Co 0.250 0.250 0.750
Co 0.250 0.750 0.250
Co 0.750 0.250 0.250
Co 0.750 0.750 0.750

Space group: No. 216
Final energy (Ha/atom): -0.23934
Density (g/cm3): 9.03
Energy of formation (eV per atom): 0.0203


The following is a DFT calculation (GGA-PBE) of a relaxed Ce6Tl2FeCo crystal.

Cell: 7.239 7.239 7.239 Å, 119.77 119.77 90.39°
Fractional coordinates of all 10 atoms:
Ce 0.236 0.236 0.000
Ce 0.255 0.255 0.510
Ce 0.255 0.745 0.000
Ce 0.745 0.255 0.000
Ce 0.745 0.745 0.490
Ce 0.764 0.764 0.000
Tl 0.250 0.750 0.500
Tl 0.750 0.250 0.500
Fe 0.000 0.000 0.000
Co 0.500 0.500 0.000

Space group: No. 139
Final energy (Ha/atom): -0.21172
Density (g/cm3): 8.42
Energy of formation (eV per atom): -0.1707


- Which of these has the lowest density?
  Ce6Tl2FeCo


- Which value of final energy does entry 1 give?
  -0.23934 Ha/atom


- What is the formula in the second record?
  Ce6Tl2FeCo